# MgPdSCl2

MgPdSCl2 after structural relaxation (PBE, Alexandria).

Energy above the most stable polymorph in this dataset (kJ/mol of formula units): 0
Energy relative to the elements, uncorrected (meV per atom): -332.0

Unit cell a=4.7636 b=4.7636 c=4.9103 alpha=90.00 beta=90.00 gamma=90.00
Fractional coordinates of all 5 atoms:
Mg 0.5000 0.5000 0.5000
S 0.0000 0.0000 0.5000
Pd 0.0000 0.0000 0.0000
Cl 0.0000 0.5000 0.0000
Cl 0.5000 0.0000 0.0000

=====

# Pr3Ge2Pt7

Pr3Ge2Pt7 after structural relaxation (PBE, Alexandria).

Energy of formation from the pure elements (meV per atom): -771

Unit cell a=4.1104 b=4.2438 c=14.8499 alpha=98.22 beta=90.00 gamma=90.00
Fractional coordinates of all 12 atoms:
Pt 0.0000 0.7892 0.5784
Pt 0.0000 0.2108 0.4216
Pt 0.0000 0.0000 0.0000
Pt 0.0000 0.3727 0.7454
Pt 0.5000 0.8707 0.7413
Pt 0.5000 0.1293 0.2587
Pt 0.0000 0.6273 0.2546
Pr 0.5000 0.5000 0.0000
Pr 0.5000 0.7017 0.4035
Pr 0.5000 0.2983 0.5965
Ge 0.0000 0.0825 0.1650
Ge 0.0000 0.9175 0.8350

=====

Number 1: DFT total energy -0.239 Ry/atom. Number 2: DFT total energy -0.460 Ry/atom.